# 1
FeRhPb2 | GGA-PBEsol | optimized geometry

calculated total energy: -24.32 eV/cell
total magnetic moment: 3.34 μB per cell
ΔE_f: 0.8 eV per formula unit

Unit cell a=3.1829 b=3.1829 c=7.9949 alpha=90.00 beta=90.00 gamma=90.00
Closest atoms and distances in Å follow each position.
Space group P4mm (No. 99)
Asymmetric unit:
Fe (0.0000, 0.0000, 0.0000) [1 per cell]  4 Rh 2.54
Rh (0.5000, 0.5000, 0.1478) [1 per cell]  4 Fe 2.54
Pb (0.0000, 0.0000, 0.3857) [1 per cell]  4 Rh 2.95, 1 Fe 3.08, 4 Pb 3.18
Pb (0.5000, 0.5000, 0.7669) [1 per cell]  4 Fe 2.92, 1 Rh 3.05, 4 Pb 3.18

=====

# 2
Fe2RuRhPb | GGA-PBEsol | optimized geometry

calculated total energy: -28.87 eV/cell
total magnetic moment: 8.48 μB per cell
ΔE_f: 11.4 eV per formula unit

Unit cell a=4.6802 b=4.6802 c=4.8089 alpha=90.00 beta=90.00 gamma=90.00
Closest atoms and distances in Å follow each position.
Space group P4/mmm (No. 123)
Asymmetric unit:
Fe (0.0000, 0.5000, 0.0000) [2 per cell]  2 Pb 2.34
Ru (0.0000, 0.0000, 0.5000) [1 per cell]  4 Rh 3.31, 8 Fe 3.36
Rh (0.5000, 0.5000, 0.5000) [1 per cell]  2 Pb 2.40
Pb (0.5000, 0.5000, 0.0000) [1 per cell]  4 Fe 2.34, 2 Rh 2.40

=====

# 3
Fe3RuPb | GGA-PBEsol | optimized geometry

calculated total energy: -29.44 eV/cell
total magnetic moment: 10.17 μB per cell
ΔE_f: 11.6 eV per formula unit

Unit cell a=4.6757 b=4.6757 c=4.6757 alpha=90.00 beta=90.00 gamma=90.00
Closest atoms and distances in Å follow each position.
Space group Pm-3m (No. 221)
Asymmetric unit:
Fe (0.0000, 0.0000, 0.5000) [3 per cell]  2 Pb 2.34
Ru (0.5000, 0.5000, 0.5000) [1 per cell]  12 Fe 3.31
Pb (0.0000, 0.0000, 0.0000) [1 per cell]  6 Fe 2.34